Density functional theory data (GGA+U) for crystalline Pm2CrH2O6 at its relaxed geometry.

Cell: 5.0887 5.0887 14.3562 Å, 90.00 90.00 120.00°
Space group R-3m (No. 166, hexagonal axes)
Asymmetric unit:
1 Pm 0.0000 0.0000 0.2291
2 Cr 0.0000 0.0000 0.0000
3 H 0.0000 0.0000 0.4194
4 O 0.0064 0.5032 0.2497

Properties
**Volume**: 9.8 Å³ per atom
**Uncorrected energy**: -225.528 eV for the cell shown